# 1
First-principles (PBE-GGA) data for crystalline TmInPt at its relaxed geometry, as listed in OQMD via LeMat-Bulk.

For the total energy, the calculation gives -5.414 eV per atom. Its space group is P-62m, No. 189. For the volume, the calculation gives 21.29 A^3/atom. Its size of the total moment is 0.00 μB/f.u.

Cell lengths 7.456, 7.456, 3.980 Å; angles 90.00, 90.00, 120.00 degrees
Positions (direct):
Tm 0.000 0.592 0.000
Tm 0.408 0.408 0.000
Tm 0.592 0.000 0.000
In 0.000 0.257 0.500
In 0.257 0.000 0.500
In 0.743 0.743 0.500
Pt 0.000 0.000 0.000
Pt 0.333 0.667 0.500
Pt 0.667 0.333 0.500

=====

# 2
First-principles (PBE-GGA) data for crystalline Tm2In8Pt at its relaxed geometry, as listed in OQMD via LeMat-Bulk.

For the total energy, the calculation gives -3.735 eV per atom. Its space group is P4/mmm, No. 123. For the volume, the calculation gives 23.79 A^3/atom. Its size of the total moment is 0.00 μB/f.u.

Cell lengths 4.665, 4.665, 12.026 Å; angles 90.00, 90.00, 90.00 degrees
Positions (direct):
Tm 0.000 0.000 0.187
Tm 0.000 0.000 0.813
In 0.000 0.500 0.000
In 0.000 0.500 0.372
In 0.000 0.500 0.628
In 0.500 0.000 0.000
In 0.500 0.000 0.372
In 0.500 0.000 0.628
In 0.500 0.500 0.190
In 0.500 0.500 0.810
Pt 0.000 0.000 0.500

=====

# 3
First-principles (PBE-GGA) data for crystalline TmInPt at its relaxed geometry, as listed in OQMD via LeMat-Bulk.

For the total energy, the calculation gives -4.693 eV per atom. Its space group is F-43m, No. 216. For the volume, the calculation gives 25.06 A^3/atom. Its size of the total moment is 0.00 μB/f.u.

Cell lengths 6.700, 6.700, 6.700 Å; angles 90.00, 90.00, 90.00 degrees
Positions (direct):
Tm 0.000 0.000 0.000
Tm 0.000 0.500 0.500
Tm 0.500 0.000 0.500
Tm 0.500 0.500 0.000
In 0.250 0.250 0.750
In 0.250 0.750 0.250
In 0.750 0.250 0.250
In 0.750 0.750 0.750
Pt 0.250 0.250 0.250
Pt 0.250 0.750 0.750
Pt 0.750 0.250 0.750
Pt 0.750 0.750 0.250

=====

# 4
First-principles (PBE-GGA) data for crystalline Y2TmIn3Pt2 at its relaxed geometry, as listed in OQMD via LeMat-Bulk.

For the total energy, the calculation gives -5.604 eV per atom. Its space group is Amm2, No. 38. For the volume, the calculation gives 23.27 A^3/atom. Its size of the total moment is 0.01 μB/f.u.

Cell lengths 3.628, 13.304, 7.714 Å; angles 90.00, 90.00, 90.00 degrees
Positions (direct):
Y 0.000 0.210 0.000
Y 0.000 0.290 0.500
Y 0.000 0.710 0.500
Y 0.000 0.790 0.000
Tm 0.000 0.000 0.632
Tm 0.000 0.500 0.132
In 0.500 0.000 0.978
In 0.500 0.115 0.326
In 0.500 0.385 0.826
In 0.500 0.500 0.478
In 0.500 0.615 0.826
In 0.500 0.885 0.326
Pt 0.500 0.164 0.709
Pt 0.500 0.336 0.209
Pt 0.500 0.664 0.209
Pt 0.500 0.836 0.709